[1]
Below is a relaxed structure of CaAl2H4Pb2O4F6, with properties calculated at the PBE-GGA level.

Lattice parameters (Å, degrees): 6.1885 6.8417 7.5401 65.11 79.36 69.22
With the nearest neighbours (Å) after each atom.
Positions (direct):
O  0.9302  0.3427  0.5215  1 H 0.98
Al  0.1325  0.4698  0.3183  3 F 1.80-1.91, 3 O 1.86-2.01
H  0.0888  0.3017  0.9804  1 O 0.98
F  0.3387  0.6233  0.1634  1 Al 1.86
Al  0.8761  0.5317  0.6814  3 F 1.78-1.90, 2 O 1.84-1.95
F  0.6639  0.7727  0.4950  1 Al 1.90
Ca  0.5445  0.5449  0.4233  3 F 2.22-2.30, 1 O 2.37
H  0.8750  0.6687  0.0471  1 O 0.99
F  0.8315  0.7097  0.8101  1 H 1.75, 1 Al 1.78
O  0.0523  0.2775  0.8711  1 H 0.98
O  0.8722  0.6717  0.1771  1 H 0.99
H  0.9869  0.1800  0.6001  1 O 0.98
F  0.2049  0.2793  0.1943  1 Al 1.80, 1 H 1.81
Pb  0.6449  0.0985  0.0900  2 F 2.53-2.68, 1 O 2.60
F  0.3909  0.2697  0.4779  1 Al 1.91
O  0.1076  0.6394  0.4871  1 H 0.98
Pb  0.3763  0.9631  0.8388  1 O 2.43, 2 F 2.61-2.66
H  0.0345  0.8025  0.4214  1 O 0.98
F  0.6107  0.4409  0.7722  1 Al 1.87

Summary:
For the final energy, the calculation gives -5.463 eV/atom. For the excess energy over the best structure of this formula in the dataset, the calculation gives 14 meV per atom. Its crystal system is triclinic.

***

[2]
Below is a relaxed structure of CaAl2H4Pb2O4F6, with properties calculated at the PBE-GGA level.

Lattice parameters (Å, degrees): 5.5466 6.4722 7.6688 115.46 84.05 102.88
With the nearest neighbours (Å) after each atom.
Positions (direct):
Al  0.1618  0.1855  0.6579  3 F 1.81-1.88, 3 O 1.88-1.99
F  0.4580  0.2202  0.7558  1 H 1.70, 1 Al 1.81
O  0.1459  0.8648  0.4789  1 H 0.99
Al  0.8382  0.8145  0.3421  3 F 1.81-1.88, 3 O 1.88-1.99
F  0.5420  0.7798  0.2442  1 H 1.70, 1 Al 1.81
Ca  0.0000  0.5000  0.5000  2 O 2.39, 4 F 2.42-2.43
O  0.9962  0.1205  0.8614  1 H 0.98
H  0.7054  0.1555  0.6065  1 O 0.99
H  0.2946  0.8445  0.3935  1 O 0.99
H  0.0637  0.7410  0.0439  1 O 0.98
F  0.6851  0.7182  0.5284  1 Al 1.85
F  0.1415  0.5018  0.7897  1 Al 1.88, 1 H 1.98
F  0.8585  0.4982  0.2103  1 Al 1.88, 1 H 1.98
O  0.8541  0.1352  0.5211  1 H 0.99
H  0.9363  0.2590  0.9561  1 O 0.98
Pb  0.6582  0.8017  0.8972  2 O 2.55-2.62, 2 F 2.64-2.73, 1 H 2.79
Pb  0.3418  0.1983  0.1028  2 O 2.55-2.62, 2 F 2.64-2.73, 1 H 2.79
O  0.0038  0.8795  0.1386  1 H 0.98
F  0.3149  0.2818  0.4716  1 Al 1.85

Summary:
For the final energy, the calculation gives -5.477 eV/atom. For the excess energy over the best structure of this formula in the dataset, the calculation gives 0 meV per atom. Its crystal system is triclinic.

***

[3]
Below is a relaxed structure of CaAl2H4Pb2O4F6, with properties calculated at the PBE-GGA level.

Lattice parameters (Å, degrees): 4.7065 7.5960 8.0534 112.57 93.62 95.27
With the nearest neighbours (Å) after each atom.
Positions (direct):
Ca  0.5000  0.0000  0.5000  4 F 2.24-2.35
O  0.1878  0.5191  0.9113  1 H 0.99
Al  0.1212  0.6738  0.1504  3 F 1.84-1.87, 3 O 1.86-1.92
O  0.8122  0.4809  0.0887  1 H 0.99
F  0.0444  0.8221  0.3852  1 Al 1.87
H  0.7344  0.8389  0.0944  1 O 0.99
F  0.9556  0.1779  0.6148  1 Al 1.87
H  0.6309  0.4953  0.1452  1 O 0.99
H  0.2656  0.1611  0.9056  1 O 0.99
F  0.3350  0.5408  0.2532  1 H 1.68, 1 Al 1.86
Al  0.8788  0.3262  0.8496  3 F 1.84-1.87, 3 O 1.86-1.92
O  0.0631  0.1542  0.9314  1 H 0.99
F  0.4509  0.8434  0.1983  1 H 1.62
H  0.3691  0.5047  0.8548  1 O 0.99
F  0.5491  0.1566  0.8017  1 H 1.62
F  0.6650  0.4592  0.7468  1 H 1.68, 1 Al 1.86
Pb  0.9366  0.7793  0.7568  2 O 2.36-2.64, 1 F 2.61
O  0.9369  0.8458  0.0686  1 H 0.99
Pb  0.0634  0.2207  0.2432  2 O 2.36-2.64, 1 F 2.61

Summary:
For the final energy, the calculation gives -5.427 eV/atom. For the excess energy over the best structure of this formula in the dataset, the calculation gives 51 meV per atom. Its crystal system is triclinic.

***

[4]
Below is a relaxed structure of CaAl2H4Pb2O4F6, with properties calculated at the PBE-GGA level.

Lattice parameters (Å, degrees): 4.9730 7.8105 8.2227 118.27 104.06 85.87
With the nearest neighbours (Å) after each atom.
Positions (direct):
O  0.8305  0.6262  0.0968  1 H 0.98
F  0.3938  0.6945  0.2711  1 H 1.80, 1 Al 1.88
F  0.0582  0.6015  0.4138  1 Al 1.83
H  0.1888  0.6825  0.8175  1 O 0.99
Al  0.1182  0.4949  0.1748  3 F 1.83-1.88, 3 O 1.86-1.97
O  0.9285  0.2439  0.0895  1 H 0.98
O  0.0113  0.7284  0.8547  1 H 0.99
F  0.5017  0.6374  0.7647  1 H 1.68, 1 Al 1.86
Al  0.8055  0.5115  0.8324  3 F 1.81-1.86, 3 O 1.89-1.95
Pb  0.2476  0.0235  0.1668  2 O 2.46-2.57, 1 F 2.64
H  0.7285  0.2331  0.0766  1 O 0.98
F  0.5715  0.3195  0.7891  1 H 1.55
H  0.3123  0.3899  0.8721  1 O 1.01
H  0.6675  0.6552  0.1512  1 O 0.98
F  0.8283  0.3828  0.5853  1 Al 1.82
F  0.4232  0.3721  0.2483  1 Al 1.87
O  0.1377  0.3983  0.9166  1 H 1.01
Pb  0.0816  0.0415  0.7877  2 O 2.48-2.50, 1 H 2.73
Ca  0.6652  0.6220  0.5180  5 F 2.23-2.43

Summary:
For the final energy, the calculation gives -5.442 eV/atom. For the excess energy over the best structure of this formula in the dataset, the calculation gives 35 meV per atom. Its crystal system is triclinic.

***

[5]
Below is a relaxed structure of Ca2HfAlF, with properties calculated at the PBE-GGA level.

Lattice parameters (Å, degrees): 4.6484 4.8920 4.6484 90.00 90.00 90.00
With the nearest neighbours (Å) after each atom.
Positions (direct):
F  0.0000  0.0000  0.0000  4 Ca 2.32, 2 Hf 2.45
Ca  0.0000  0.0000  0.5000  2 F 2.32
Hf  0.0000  0.5000  0.0000  2 F 2.45
Al  0.5000  0.5000  0.5000  4 Hf 3.29, 8 Ca 3.37
Ca  0.5000  0.0000  0.0000  2 F 2.32

Summary:
For the final energy, the calculation gives -4.628 eV/atom. The value obtained for the formation energy from raw total energies is -68.87 kJ/mol of atoms. Its crystal system is tetragonal.

***

[6]
Below is a relaxed structure of CaAlInF2, with properties calculated at the PBE-GGA level.

Lattice parameters (Å, degrees): 4.5510 5.4934 4.5510 90.00 90.00 90.00
With the nearest neighbours (Å) after each atom.
Positions (direct):
F  0.0000  0.0000  0.5000  2 In 2.28
F  0.5000  0.0000  0.0000  2 In 2.28
In  0.0000  0.0000  0.0000  4 F 2.28
Ca  0.5000  0.5000  0.5000  4 Al 3.22, 8 F 3.57
Al  0.0000  0.5000  0.0000  2 In 2.75

Summary:
For the final energy, the calculation gives -3.655 eV/atom. The value obtained for the formation energy from raw total energies is -116.74 kJ/mol of atoms. Its crystal system is tetragonal.

***

[7]
Below is a relaxed structure of KCaAl2F8, with properties calculated at the PBE-GGA level.

Lattice parameters (Å, degrees): 5.5393 5.5393 9.3836 72.83 72.83 60.00
With the nearest neighbours (Å) after each atom.
Positions (direct):
F  0.8073  0.8073  0.5780  1 Al 1.70
K  0.5000  0.5000  0.5000  6 F 3.27
F  0.4108  0.7608  0.8430  1 Al 1.73
F  0.5892  0.2392  0.1570  1 Al 1.73
F  0.7608  0.9854  0.8430  1 Al 1.73
Al  0.2568  0.2568  0.2297  4 F 1.70-1.73
F  0.2392  0.0146  0.1570  1 Al 1.73
Al  0.7432  0.7432  0.7703  4 F 1.70-1.73
F  0.9854  0.4108  0.8430  1 Al 1.73
Ca  0.0000  0.0000  0.0000  6 F 2.29
F  0.0146  0.5892  0.1570  1 Al 1.73
F  0.1927  0.1927  0.4220  1 Al 1.70

Summary:
For the final energy, the calculation gives -5.383 eV/atom. The value obtained for the formation energy from raw total energies is -313.93 kJ/mol of atoms. Its crystal system is trigonal.

***

[8]
Below is a relaxed structure of K2CaAlF6, with properties calculated at the PBE-GGA level.

Lattice parameters (Å, degrees): 6.0794 6.1298 6.1298 120.00 90.00 90.00
With the nearest neighbours (Å) after each atom.
Positions (direct):
F  0.1832  0.8626  0.1374  1 Al 1.84
F  0.8168  0.1374  0.8626  1 Al 1.84
K  0.1221  0.3333  0.6667  9 F 2.79-3.10
F  0.1832  0.2748  0.1374  1 Al 1.84
Al  0.0000  0.0000  0.0000  6 F 1.84
Ca  0.5000  0.0000  0.0000  6 F 2.42
F  0.8168  0.1374  0.2748  1 Al 1.84
F  0.1832  0.8626  0.7252  1 Al 1.84
K  0.8779  0.6667  0.3333  9 F 2.79-3.10
F  0.8168  0.7252  0.8626  1 Al 1.84

Summary:
For the final energy, the calculation gives -5.004 eV/atom. The value obtained for the formation energy from raw total energies is -297.90 kJ/mol of atoms. Its crystal system is trigonal.

***

Please write out number 2 again, unchanged.
Below is a relaxed structure of CaAl2H4Pb2O4F6, with properties calculated at the PBE-GGA level.

Lattice parameters (Å, degrees): 5.5466 6.4722 7.6688 115.46 84.05 102.88
With the nearest neighbours (Å) after each atom.
Positions (direct):
Al  0.1618  0.1855  0.6579  3 F 1.81-1.88, 3 O 1.88-1.99
F  0.4580  0.2202  0.7558  1 H 1.70, 1 Al 1.81
O  0.1459  0.8648  0.4789  1 H 0.99
Al  0.8382  0.8145  0.3421  3 F 1.81-1.88, 3 O 1.88-1.99
F  0.5420  0.7798  0.2442  1 H 1.70, 1 Al 1.81
Ca  0.0000  0.5000  0.5000  2 O 2.39, 4 F 2.42-2.43
O  0.9962  0.1205  0.8614  1 H 0.98
H  0.7054  0.1555  0.6065  1 O 0.99
H  0.2946  0.8445  0.3935  1 O 0.99
H  0.0637  0.7410  0.0439  1 O 0.98
F  0.6851  0.7182  0.5284  1 Al 1.85
F  0.1415  0.5018  0.7897  1 Al 1.88, 1 H 1.98
F  0.8585  0.4982  0.2103  1 Al 1.88, 1 H 1.98
O  0.8541  0.1352  0.5211  1 H 0.99
H  0.9363  0.2590  0.9561  1 O 0.98
Pb  0.6582  0.8017  0.8972  2 O 2.55-2.62, 2 F 2.64-2.73, 1 H 2.79
Pb  0.3418  0.1983  0.1028  2 O 2.55-2.62, 2 F 2.64-2.73, 1 H 2.79
O  0.0038  0.8795  0.1386  1 H 0.98
F  0.3149  0.2818  0.4716  1 Al 1.85

Summary:
For the final energy, the calculation gives -5.477 eV/atom. For the excess energy over the best structure of this formula in the dataset, the calculation gives 0 meV per atom. Its crystal system is triclinic.

***

Among the records above, which one has the lowest final energy?
number 2

***

Look up the final energy of the third one.
-5.427 eV/atom